No. 1
La5Te | GGA-PBE | optimized geometry

Values from the calculation:
M_tot = 0.01 μB/cell
Energy above the lowest structure with this stoichiometry = 0.644 eV per atom
Calculated volume = 35.84 Å³/atom
VASP energy = -26.489 eV per formula unit
Energy relative to the elements, uncorrected = 0.22 eV per atom

a = 6.488 Å, b = 6.488 Å, c = 5.900 Å
α = 90.00°, β = 90.00°, γ = 120.00°
Atoms (fractional coordinates):
La: 0.333 0.667 0.000
La: 0.667 0.333 0.000
La: 0.500 0.000 0.500
La: 0.000 0.500 0.500
La: 0.500 0.500 0.500
Te: 0.000 0.000 0.000



No. 2
LaTe3 | GGA-PBE | optimized geometry

Values from the calculation:
M_tot = 0.00 μB/cell
Calculated volume = 33.95 Å³/atom
VASP energy = -18.682 eV per formula unit
Energy relative to the elements, uncorrected = -1.08 eV per atom

a = 14.108 Å, b = 14.108 Å, c = 4.415 Å
α = 90.00°, β = 90.00°, γ = 162.00°
Atoms (fractional coordinates):
La: 0.173 0.827 0.250
La: 0.827 0.173 0.750
Te: 0.923 0.077 0.250
Te: 0.077 0.923 0.750
Te: 0.577 0.423 0.250
Te: 0.423 0.577 0.750
Te: 0.294 0.706 0.250
Te: 0.706 0.294 0.750



No. 3
La4Te | GGA-PBE | optimized geometry

Values from the calculation:
M_tot = 0.00 μB/cell
Energy above the lowest structure with this stoichiometry = 0.000 eV per atom
Calculated volume = 44.06 Å³/atom
VASP energy = -24.034 eV per formula unit
Energy relative to the elements, uncorrected = -0.24 eV per atom

a = 6.039 Å, b = 6.039 Å, c = 6.039 Å
α = 90.00°, β = 90.00°, γ = 90.00°
Atoms (fractional coordinates):
Te: 0.500 0.500 0.500
La: 0.000 0.000 0.000
La: 0.500 0.000 0.500
La: 0.000 0.500 0.500
La: 0.500 0.500 0.000



No. 4
LaTe3 | GGA-PBE | optimized geometry

Values from the calculation:
M_tot = 0.00 μB/cell
Calculated volume = 30.82 Å³/atom
VASP energy = -16.686 eV per formula unit
Energy relative to the elements, uncorrected = -0.58 eV per atom

a = 5.586 Å, b = 5.586 Å, c = 5.586 Å
α = 60.00°, β = 60.00°, γ = 60.00°
Atoms (fractional coordinates):
La: 0.000 0.000 0.000
Te: 0.250 0.250 0.250
Te: 0.500 0.500 0.500
Te: 0.750 0.750 0.750



No. 5
LaTe3 | GGA-PBE | optimized geometry

Values from the calculation:
M_tot = 0.00 μB/cell
Calculated volume = 33.65 Å³/atom
VASP energy = -17.417 eV per formula unit
Energy relative to the elements, uncorrected = -0.77 eV per atom

a = 6.013 Å, b = 6.013 Å, c = 6.013 Å
α = 113.74°, β = 113.74°, γ = 113.74°
Atoms (fractional coordinates):
La: 0.000 0.000 0.000
Te: 0.500 0.000 0.500
Te: 0.500 0.500 0.000
Te: 0.000 0.500 0.500



No. 6
LaTe2 | GGA-PBE | optimized geometry

Values from the calculation:
M_tot = 0.00 μB/cell
Calculated volume = 32.15 Å³/atom
VASP energy = -15.428 eV per formula unit
Energy relative to the elements, uncorrected = -1.41 eV per atom

a = 4.556 Å, b = 4.556 Å, c = 9.293 Å
α = 90.00°, β = 90.00°, γ = 90.00°
Atoms (fractional coordinates):
Te: 0.000 0.500 0.133
Te: 0.500 0.000 0.867
Te: 0.000 0.000 0.500
Te: 0.500 0.500 0.500
La: 0.000 0.500 0.774
La: 0.500 0.000 0.226



No. 7
LaTe2 | GGA-PBE | optimized geometry

Values from the calculation:
M_tot = 0.00 μB/cell
Calculated volume = 34.48 Å³/atom
VASP energy = -15.009 eV per formula unit
Energy relative to the elements, uncorrected = -1.27 eV per atom

a = 5.992 Å, b = 5.992 Å, c = 8.397 Å
α = 83.93°, β = 83.93°, γ = 43.68°
Atoms (fractional coordinates):
La: 0.949 0.949 0.044
La: 0.715 0.715 0.624
Te: 0.341 0.341 0.328
Te: 0.410 0.410 0.760
Te: 0.091 0.091 0.405
Te: 0.662 0.662 0.006



No. 8
LaTe4 | GGA-PBE | optimized geometry

Values from the calculation:
M_tot = 0.00 μB/cell
Energy above the lowest structure with this stoichiometry = 0.055 eV per atom
Calculated volume = 38.55 Å³/atom
VASP energy = -19.350 eV per formula unit
Energy relative to the elements, uncorrected = -0.37 eV per atom

a = 6.620 Å, b = 6.620 Å, c = 6.620 Å
α = 123.60°, β = 123.60°, γ = 83.87°
Atoms (fractional coordinates):
La: 0.000 0.000 0.000
Te: 0.750 0.250 0.500
Te: 0.250 0.750 0.500
Te: 0.691 0.691 0.000
Te: 0.309 0.309 0.000



No. 9
LaTe2 | GGA-PBE | optimized geometry

Values from the calculation:
M_tot = 1.99 μB/cell
Calculated volume = 42.27 Å³/atom
VASP energy = -12.931 eV per formula unit
Energy relative to the elements, uncorrected = -0.57 eV per atom

a = 6.152 Å, b = 6.152 Å, c = 15.475 Å
α = 90.00°, β = 90.00°, γ = 120.00°
Last column: magnetic moment on the atom in μB.
Atoms (fractional coordinates):
Te: 0.000 0.000 0.000  0.03
Te: 0.000 0.000 0.500  0.03
Te: 0.836 0.673 0.250  0.01
Te: 0.164 0.327 0.750  0.01
Te: 0.327 0.164 0.250  0.01
Te: 0.836 0.164 0.250  0.01
Te: 0.164 0.836 0.750  0.01
Te: 0.673 0.836 0.750  0.01
La: 0.333 0.667 0.916  -0.17
La: 0.667 0.333 0.416  -0.17
La: 0.667 0.333 0.084  -0.17
La: 0.333 0.667 0.584  -0.17



No. 10
LaTe4 | GGA-PBE | optimized geometry

Values from the calculation:
M_tot = 2.11 μB/cell
Energy above the lowest structure with this stoichiometry = 0.515 eV per atom
Calculated volume = 46.89 Å³/atom
VASP energy = -17.049 eV per formula unit
Energy relative to the elements, uncorrected = 0.09 eV per atom

a = 6.166 Å, b = 6.166 Å, c = 6.166 Å
α = 90.00°, β = 90.00°, γ = 90.00°
Last column: magnetic moment on the atom in μB.
Atoms (fractional coordinates):
Te: 0.000 0.000 0.000  0.90
Te: 0.500 0.000 0.500  0.07
Te: 0.000 0.500 0.500  0.07
Te: 0.500 0.500 0.000  0.07
La: 0.500 0.500 0.500  0.01



No. 11
LaTe3 | GGA-PBE | optimized geometry

Values from the calculation:
M_tot = 0.00 μB/cell
Calculated volume = 32.15 Å³/atom
VASP energy = -17.663 eV per formula unit
Energy relative to the elements, uncorrected = -0.83 eV per atom

a = 4.214 Å, b = 4.392 Å, c = 8.886 Å
α = 51.43°, β = 90.00°, γ = 90.00°
Atoms (fractional coordinates):
La: 0.000 0.000 0.000
Te: 0.500 0.817 0.778
Te: 0.000 0.500 0.500
Te: 0.500 0.183 0.222



No. 12
LaTe2 | GGA-PBE | optimized geometry

Values from the calculation:
M_tot = 0.00 μB/cell
Calculated volume = 31.20 Å³/atom
VASP energy = -14.881 eV per formula unit
Energy relative to the elements, uncorrected = -1.22 eV per atom

a = 5.804 Å, b = 5.804 Å, c = 6.417 Å
α = 90.00°, β = 90.00°, γ = 120.00°
Atoms (fractional coordinates):
La: 0.667 0.333 0.250
La: 0.333 0.667 0.750
Te: 0.000 0.000 0.000
Te: 0.000 0.000 0.500
Te: 0.333 0.667 0.250
Te: 0.667 0.333 0.750